Sm2Cd5Ag3: optimized geometry, GGA-PBE.

Summary:
density of states at the Fermi level	6.34	states/eV/f.u.
SG	C2/c
energy of formation from the pure elements	-0.20	eV per atom
V	465.29	Å³ per cell

Cell lengths 6.0525, 9.8699, 9.8699 Å; angles 83.58, 63.06, 63.05 degrees
Positions (direct):
Ag  0.7500  0.9592  0.0409
Ag  0.9354  0.7568  0.4632
Ag  0.0646  0.2432  0.5368
Ag  0.4355  0.4631  0.7567
Ag  0.5645  0.5369  0.2433
Ag  0.2500  0.0408  0.9591
Cd  0.5027  0.7354  0.7624
Cd  0.4421  0.2490  0.9617
Cd  0.0580  0.0383  0.7509
Cd  0.4973  0.2646  0.2376
Cd  0.9420  0.9617  0.2491
Cd  0.5579  0.7510  0.0383
Cd  0.0026  0.7625  0.7353
Cd  0.9974  0.2375  0.2647
Cd  0.2500  0.4632  0.5367
Cd  0.7500  0.5368  0.4633
Sm  0.8919  0.3892  0.8895
Sm  0.3919  0.8895  0.3892
Sm  0.6081  0.1105  0.6108
Sm  0.1081  0.6108  0.1105



SmCd8Ag4: optimized geometry, GGA-PBE.

Summary:
density of states at the Fermi level	6.78	states/eV/f.u.
SG	I4/mmm
energy of formation from the pure elements	-0.14	eV per atom
V	278.74	Å³ per cell

Cell lengths 5.6388, 7.5751, 7.5751 Å; angles 82.04, 68.15, 68.15 degrees
Positions (direct):
Cd  0.3446  0.6554  0.6554
Cd  0.0000  0.6554  0.3446
Cd  0.6554  0.3446  0.3446
Cd  0.2881  0.2119  0.2119
Cd  0.5000  0.2119  0.7881
Cd  0.7119  0.7881  0.7881
Cd  0.5000  0.7881  0.2119
Cd  0.0000  0.3446  0.6554
Ag  0.5000  0.0000  0.5000
Ag  0.0000  0.0000  0.5000
Ag  0.5000  0.5000  0.0000
Ag  0.0000  0.5000  0.0000
Sm  0.0000  0.0000  0.0000



| no. | total magnetic moment (μB per cell) |
| --- | --- |
| 1 | 0.000 |
| 2 | 0.000 |